1.
First-principles (meta-GGA SCAN) data for KMn2Ni at its PBEsol-relaxed geometry, as listed in Alexandria via LeMat-Bulk.

Output
For the formation energy, the calculation gives 0.652 eV/atom. The density of states at the Fermi level is 2.36 states/eV/cell. The volume is 70.3 Å³ per cell. The relative energy among the computed polymorphs is 0.000 eV per atom.

Lattice parameters (Å, degrees): 5.7835 5.7835 5.7835 151.94 128.92 59.29
Last column: nearest neighbours and their distance in Å.
Sites, in units of the cell vectors:
K 0.0000 0.0000 0.0000  2 K 2.80, 4 Mn 2.91, 2 Ni 2.97
Mn 0.2997 0.7997 0.5000  4 Mn 2.80-2.91, 4 Ni 2.92
Mn 0.5538 0.5538 0.0000  2 Ni 2.34
Ni 0.7400 0.2400 0.5000  2 Mn 2.34

***

2.
First-principles (meta-GGA SCAN) data for EuY3 at its PBEsol-relaxed geometry, as listed in Alexandria via LeMat-Bulk.

Output
For the formation energy, the calculation gives 0.120 eV/atom. The density of states at the Fermi level is 6.57 states/eV/cell. The volume is 126.3 Å³ per cell.

Lattice parameters (Å, degrees): 6.1435 6.1435 6.1435 131.80 131.80 70.55
Last column: nearest neighbours and their distance in Å.
Sites, in units of the cell vectors:
Eu 0.0000 0.0000 0.0000  12 Y 3.55
Y 0.2500 0.7500 0.5000  8 Y 3.55, 4 Eu 3.55
Y 0.5000 0.5000 0.0000  8 Y 3.55, 4 Eu 3.55
Y 0.7500 0.2500 0.5000  8 Y 3.55, 4 Eu 3.55